YErAlCo, optimized geometry, DFT PBE-GGA; VASP energy = -22.755 eV/cell; V = 21.331 Å³ per atom; calculated formation energy = -0.220 eV per atom
1.0
0.000 3.494 3.494
3.494 0.000 3.494
3.494 3.494 0.000
Y Er Al Co
1 1 1 1
Direct
0.000 0.000 0.000 Y
0.500 0.500 0.500 Er
0.250 0.250 0.250 Al
0.750 0.750 0.750 Co